Entry 1:
Entry from the Alexandria database: a relaxed structure of HoFeI (PBE).

Lattice parameters (Å, degrees): 3.9502 3.9502 12.5994 99.18 99.18 60.01
Last column: nearest neighbours and their distance in Å.
Atoms (fractional coordinates):
Ho (0.0525, 0.0525, 0.1547)  6 Fe 2.95-3.00, 3 I 3.13
Ho (0.9475, 0.9475, 0.8453)  6 Fe 2.95-3.00, 3 I 3.13
Fe (0.3341, 0.3341, 0.0029)  3 Fe 2.28
Fe (0.6659, 0.6659, 0.9971)  3 Fe 2.28
I (0.2220, 0.2220, 0.6717)  3 Ho 3.13
I (0.7780, 0.7780, 0.3283)  3 Ho 3.13

raw formation energy = -705 meV per atom


Entry 2:
Entry from the Alexandria database: a relaxed structure of La2PmDy5Tm (PBE).

Lattice parameters (Å, degrees): 10.0253 10.0253 10.0253 128.82 128.82 75.31
Last column: nearest neighbours and their distance in Å.
Atoms (fractional coordinates):
La (0.1179, 0.6179, 0.7358)  1 La 2.89, 2 Dy 3.03
La (0.3821, 0.1179, 0.5000)  1 La 2.89, 2 Dy 3.03
La (0.6179, 0.8821, 0.5000)  1 La 2.89, 2 Dy 3.03
La (0.8821, 0.3821, 0.2642)  1 La 2.89, 2 Dy 3.03
Pm (0.2500, 0.2500, 0.0000)  8 Dy 3.53
Pm (0.7500, 0.7500, 0.0000)  8 Dy 3.53
Dy (0.0000, 0.0000, 0.0000)  4 La 3.46, 8 Dy 3.82
Dy (0.0748, 0.1416, 0.5000)  1 La 3.03, 1 Tm 3.16
Dy (0.1416, 0.6416, 0.0668)  1 La 3.03, 1 Tm 3.16
Dy (0.3584, 0.4252, 0.5000)  1 La 3.03, 1 Tm 3.16
Dy (0.4252, 0.9252, 0.0668)  1 La 3.03, 1 Tm 3.16
Dy (0.5000, 0.5000, 0.0000)  4 La 3.46, 8 Dy 3.82
Dy (0.5748, 0.0748, 0.9332)  1 La 3.03, 1 Tm 3.16
Dy (0.6416, 0.5748, 0.5000)  1 La 3.03, 1 Tm 3.16
Dy (0.8584, 0.3584, 0.9332)  1 La 3.03, 1 Tm 3.16
Dy (0.9252, 0.8584, 0.5000)  1 La 3.03, 1 Tm 3.16
Tm (0.2500, 0.7500, 0.5000)  4 Dy 3.16
Tm (0.7500, 0.2500, 0.5000)  4 Dy 3.16

formation energy = 25.1 kJ per mole of atoms


Entry 3:
Entry from the Alexandria database: a relaxed structure of TaPbAu2 (PBE).

Lattice parameters (Å, degrees): 5.2964 5.2964 2.9620 90.00 90.00 90.00
Last column: nearest neighbours and their distance in Å.
Atoms (fractional coordinates):
Ta (0.0000, 0.0000, 0.0000)  2 Ta 2.96, 8 Au 3.03
Pb (0.5000, 0.5000, 0.0000)  2 Pb 2.96, 8 Au 3.03
Au (0.0000, 0.5000, 0.5000)  2 Au 2.96, 4 Ta 3.03, 4 Pb 3.03
Au (0.5000, 0.0000, 0.5000)  2 Au 2.96, 4 Ta 3.03, 4 Pb 3.03

formation energy = 29.5 kJ per mole of atoms